LiFePO4 after structural relaxation, computed with GGA+U.

The calculation puts the final energy at -6.804 eV/atom. As for the density of states at the Fermi level: 0.00 states/eV per atom.

a b c (Å): 4.9371 7.4648 9.2479
angles (deg): 90.00 90.00 90.00
Fractional positions:
P: 0.6348 0.4970 0.6624
P: 0.1348 0.0030 0.3376
P: 0.8652 0.5030 0.1624
P: 0.3652 0.9970 0.8376
O: 0.6432 0.4897 0.8302
O: 0.7888 0.3310 0.5970
O: 0.2756 0.8236 0.3778
O: 0.2112 0.8309 0.9029
O: 0.8568 0.5103 0.3302
O: 0.7243 0.3236 0.1222
O: 0.6578 0.9850 0.8973
O: 0.7112 0.6690 0.0970
O: 0.2888 0.1690 0.4029
O: 0.3569 0.9897 0.6698
O: 0.7757 0.6764 0.6223
O: 0.2244 0.1764 0.8778
O: 0.1432 0.0103 0.1698
O: 0.3422 0.4851 0.6027
O: 0.8421 0.0150 0.3973
O: 0.1578 0.5150 0.1027
Fe: 0.3279 0.7692 0.1256
Fe: 0.6721 0.2692 0.3743
Fe: 0.1721 0.2308 0.6256
Fe: 0.8279 0.7308 0.8743
Li: 0.0826 0.6302 0.4825
Li: 0.4174 0.3698 0.9825
Li: 0.9174 0.1302 0.0175
Li: 0.5826 0.8698 0.5175